[1]
! Na4Dy3ScSe8 GGA-PBE optimized geometry; values from VASP
! calculated total energy	-5.0018	eV per atom
! space group	No. 166
! raw formation energy	-1.6711	eV/atom
&SYSTEM
  ibrav = 0, nat = 16, ntyp = 4
/
ATOMIC_SPECIES
Na 22.99 Na.upf
Dy 162.50 Dy.upf
Sc 44.96 Sc.upf
Se 78.96 Se.upf
ATOMIC_POSITIONS angstrom
Na 0.0000 0.0000 0.0000
Na -2.0486 -1.1828 6.9965
Na -2.0486 1.1828 13.9930
Na 0.0000 2.3655 6.9965
Dy -4.0972 0.0000 10.4948
Dy -2.0486 1.1828 3.4982
Dy 2.0486 1.1828 3.4983
Sc 0.0000 0.0000 10.4948
Se 0.0000 0.0000 5.1157
Se -1.9839 -1.1454 12.0687
Se 0.0000 -2.2908 8.9208
Se -1.9839 1.1454 8.9208
Se 1.9839 -1.1454 12.0687
Se 0.0000 2.2908 12.0687
Se 1.9839 1.1454 8.9208
Se 0.0000 0.0000 15.8739
CELL_PARAMETERS angstrom
4.0972 2.3655 6.9965
-4.0972 2.3655 6.9965
0.0000 -4.7311 6.9965

[2]
! Ga2NiSnHg GGA-PBE optimized geometry; values from VASP
! calculated total energy	-3.2896	eV per atom
! space group	No. 123
&SYSTEM
  ibrav = 0, nat = 5, ntyp = 4
/
ATOMIC_SPECIES
Ga 69.72 Ga.upf
Ni 58.69 Ni.upf
Sn 118.71 Sn.upf
Hg 200.59 Hg.upf
ATOMIC_POSITIONS angstrom
Ga 0.0000 2.3172 0.0000
Ga 2.3172 0.0000 0.0000
Ni 0.0000 0.0000 0.0000
Sn 0.0000 0.0000 2.5471
Hg 2.3172 2.3172 2.5471
CELL_PARAMETERS angstrom
4.6344 0.0000 0.0000
0.0000 4.6344 0.0000
0.0000 0.0000 5.0943

[3]
! CeErOsRu GGA-PBE optimized geometry; values from VASP
! calculated total energy	-8.0204	eV per atom
! space group	No. 216
&SYSTEM
  ibrav = 0, nat = 16, ntyp = 4
/
ATOMIC_SPECIES
Ce 140.12 Ce.upf
Er 167.26 Er.upf
Os 190.23 Os.upf
Ru 101.07 Ru.upf
ATOMIC_POSITIONS angstrom
Ce 0.0000 0.0000 0.0000
Ce 0.0000 3.4209 3.4209
Ce 3.4209 0.0000 3.4209
Ce 3.4209 3.4209 0.0000
Er 0.0000 0.0000 3.4209
Er 0.0000 3.4209 0.0000
Er 3.4209 0.0000 0.0000
Er 3.4209 3.4209 3.4209
Os 1.7105 1.7105 1.7105
Os 1.7105 5.1314 5.1314
Os 5.1314 1.7105 5.1314
Os 5.1314 5.1314 1.7105
Ru 1.7105 1.7105 5.1314
Ru 1.7105 5.1314 1.7105
Ru 5.1314 1.7105 1.7105
Ru 5.1314 5.1314 5.1314
CELL_PARAMETERS angstrom
6.8419 0.0000 0.0000
0.0000 6.8419 0.0000
0.0000 0.0000 6.8419

[4]
! PaGa2IrO8 GGA-PBE optimized geometry; values from VASP
! calculated total energy	-7.2550	eV per atom
! space group	No. 65
! raw formation energy	-1.9153	eV/atom
&SYSTEM
  ibrav = 0, nat = 12, ntyp = 4
/
ATOMIC_SPECIES
Pa 231.04 Pa.upf
Ga 69.72 Ga.upf
Ir 192.22 Ir.upf
O 16.00 O.upf
ATOMIC_POSITIONS angstrom
Pa 0.0000 0.0000 0.0000
Ga 3.3313 0.0000 1.6245
Ga 3.3313 0.0000 4.6743
Ir 0.0000 0.0000 3.1494
O 3.3313 1.9808 1.7032
O 3.3313 1.9808 4.5955
O 1.9560 0.0000 3.1494
O 2.1109 0.0000 0.0000
O 4.5517 0.0000 0.0000
O 4.7066 0.0000 3.1494
O 3.3313 -1.9808 1.7032
O 3.3313 -1.9808 4.5955
CELL_PARAMETERS angstrom
3.3313 -3.3889 0.0000
3.3313 3.3889 0.0000
0.0000 0.0000 6.2987

[5]
! Li2Si4PdPt3 GGA-PBE optimized geometry; values from VASP
! calculated total energy	-5.5190	eV per atom
! space group	No. 115
! raw formation energy	-0.6355	eV/atom
&SYSTEM
  ibrav = 0, nat = 10, ntyp = 4
/
ATOMIC_SPECIES
Li 6.94 Li.upf
Si 28.09 Si.upf
Pd 106.42 Pd.upf
Pt 195.08 Pt.upf
ATOMIC_POSITIONS angstrom
Li 0.0000 1.9831 2.5117
Li 1.9831 0.0000 7.9126
Si 0.0000 0.0000 5.2122
Si 0.0000 1.9831 8.9857
Si 1.9831 0.0000 1.4386
Si 1.9831 1.9831 5.2122
Pd 1.9831 1.9831 0.0000
Pt 0.0000 0.0000 0.0000
Pt 0.0000 1.9831 6.6110
Pt 1.9831 0.0000 3.8133
CELL_PARAMETERS angstrom
3.9662 0.0000 0.0000
0.0000 3.9662 0.0000
0.0000 0.0000 10.4243

[6]
! SrOsF2 GGA-PBE optimized geometry; values from VASP
! relative energy among the computed polymorphs	0.000	eV per atom
! calculated total energy	-5.1815	eV per atom
! space group	No. 166
! raw formation energy	-1.0179	eV/atom
&SYSTEM
  ibrav = 0, nat = 12, ntyp = 3
/
ATOMIC_SPECIES
Sr 87.62 Sr.upf
Os 190.23 Os.upf
F 19.00 F.upf
ATOMIC_POSITIONS angstrom
Sr 0.0000 0.0000 0.0000
Sr 0.0000 1.7747 15.1813
Sr 1.5369 0.8873 7.5907
Os 0.0000 0.0000 11.3860
Os 0.0000 1.7747 3.7953
Os 1.5369 0.8873 18.9767
F 0.0000 0.0000 9.2698
F 0.0000 0.0000 13.5022
F 0.0000 1.7747 1.6792
F 0.0000 1.7747 5.9115
F 1.5369 0.8873 16.8605
F 1.5369 0.8873 21.0928
CELL_PARAMETERS angstrom
3.0738 0.0000 0.0000
-1.5369 2.6620 0.0000
0.0000 0.0000 22.7720

[7]
! Li3YAs GGA-PBE optimized geometry; values from VASP
! relative energy among the computed polymorphs	0.000	eV per atom
! calculated total energy	-3.5113	eV per atom
! space group	No. 221
&SYSTEM
  ibrav = 0, nat = 5, ntyp = 3
/
ATOMIC_SPECIES
Li 6.94 Li.upf
Y 88.91 Y.upf
As 74.92 As.upf
ATOMIC_POSITIONS angstrom
Li 0.0000 0.0000 2.3561
Li 0.0000 2.3561 0.0000
Li 2.3561 0.0000 0.0000
Y 2.3561 2.3561 2.3561
As 0.0000 0.0000 0.0000
CELL_PARAMETERS angstrom
4.7121 0.0000 0.0000
0.0000 4.7121 0.0000
0.0000 0.0000 4.7121

[8]
! Tb4Nd5Th GGA-PBE optimized geometry; values from VASP
! relative energy among the computed polymorphs	0.000	eV per atom
! calculated total energy	-4.9365	eV per atom
! space group	No. 12
&SYSTEM
  ibrav = 0, nat = 10, ntyp = 3
/
ATOMIC_SPECIES
Tb 158.93 Tb.upf
Nd 144.24 Nd.upf
Th 232.04 Th.upf
ATOMIC_POSITIONS angstrom
Tb 0.3115 0.0000 3.2669
Tb 6.0491 0.0000 2.2201
Tb 7.4559 0.0000 8.7643
Tb 13.1935 0.0000 7.7174
Nd 2.9694 0.0000 0.9144
Nd 1.2138 0.0000 6.6929
Nd 8.6081 0.0000 0.0000
Nd 12.2912 0.0000 4.2915
Nd 10.5356 0.0000 10.0700
Th 6.7525 0.0000 5.4922
CELL_PARAMETERS angstrom
8.6081 -1.7854 0.0000
8.6081 1.7854 0.0000
-3.7112 0.0000 10.9843

[9]
! Ac8PRh3Cl3 GGA-PBE optimized geometry; values from VASP
! calculated total energy	-5.5125	eV per atom
! space group	No. 166
! raw formation energy	-1.1211	eV/atom
&SYSTEM
  ibrav = 0, nat = 15, ntyp = 4
/
ATOMIC_SPECIES
Ac 227.00 Ac.upf
P 30.97 P.upf
Rh 102.91 Rh.upf
Cl 35.45 Cl.upf
ATOMIC_POSITIONS angstrom
Ac -2.2975 -1.3264 12.8710
Ac 0.0000 0.0000 5.3440
Ac 0.0000 -2.6529 9.6518
Ac -2.2975 1.3264 9.6518
Ac 2.2975 -1.3264 12.8709
Ac 0.0000 2.6529 12.8709
Ac 0.0000 0.0000 17.1788
Ac 2.2975 1.3264 9.6518
P 0.0000 0.0000 11.2614
Rh -4.4236 0.0000 11.2614
Rh -2.2118 1.2770 3.7538
Rh 2.2118 1.2770 3.7538
Cl -2.2118 -1.2770 7.5076
Cl -2.2118 1.2770 15.0152
Cl 0.0000 2.5540 7.5076
CELL_PARAMETERS angstrom
4.4236 2.5540 7.5076
-4.4236 2.5540 7.5076
0.0000 -5.1080 7.5076

[10]
! KCaLaTl GGA-PBE optimized geometry; values from VASP
! calculated total energy	-2.5609	eV per atom
! space group	No. 216
&SYSTEM
  ibrav = 0, nat = 16, ntyp = 4
/
ATOMIC_SPECIES
K 39.10 K.upf
Ca 40.08 Ca.upf
La 138.91 La.upf
Tl 204.38 Tl.upf
ATOMIC_POSITIONS angstrom
K 0.0000 0.0000 0.0000
K 0.0000 4.1067 4.1067
K 4.1067 0.0000 4.1067
K 4.1067 4.1067 0.0000
Ca 2.0533 2.0533 2.0533
Ca 2.0533 6.1600 6.1600
Ca 6.1600 2.0533 6.1600
Ca 6.1600 6.1600 2.0533
La 2.0533 2.0533 6.1600
La 2.0533 6.1600 2.0533
La 6.1600 2.0533 2.0533
La 6.1600 6.1600 6.1600
Tl 0.0000 0.0000 4.1067
Tl 0.0000 4.1067 0.0000
Tl 4.1067 0.0000 0.0000
Tl 4.1067 4.1067 4.1067
CELL_PARAMETERS angstrom
8.2133 0.0000 0.0000
0.0000 8.2133 0.0000
0.0000 0.0000 8.2133

[11]
! LiMg2As GGA-PBE optimized geometry; values from VASP
! calculated total energy	-2.6700	eV per atom
! space group	No. 8
&SYSTEM
  ibrav = 0, nat = 8, ntyp = 3
/
ATOMIC_SPECIES
Li 6.94 Li.upf
Mg 24.30 Mg.upf
As 74.92 As.upf
ATOMIC_POSITIONS angstrom
Li 0.0000 0.0000 0.0000
Li 4.6182 1.5366 0.0000
Mg -0.0535 0.0000 4.2237
Mg 2.4550 0.0000 2.4937
Mg 4.5647 1.5366 4.2237
Mg 7.0732 1.5366 2.4937
As 2.0860 1.5366 0.1919
As 6.7042 0.0000 0.1919
CELL_PARAMETERS angstrom
9.2364 0.0000 0.0000
0.0000 3.0732 0.0000
-2.4860 0.0000 6.3530

[12]
! LiAs2SeN GGA-PBE optimized geometry; values from VASP
! relative energy among the computed polymorphs	0.000	eV per atom
! calculated total energy	-4.0525	eV per atom
! space group	No. 123
! raw formation energy	0.5521	eV/atom
&SYSTEM
  ibrav = 0, nat = 5, ntyp = 4
/
ATOMIC_SPECIES
Li 6.94 Li.upf
As 74.92 As.upf
Se 78.96 Se.upf
N 14.01 N.upf
ATOMIC_POSITIONS angstrom
Li 0.0000 0.0000 0.0000
As 0.0000 2.1614 2.3340
As 2.1614 0.0000 2.3340
Se 2.1614 2.1614 0.0000
N 2.1614 2.1614 2.3340
CELL_PARAMETERS angstrom
4.3229 0.0000 0.0000
0.0000 4.3229 0.0000
0.0000 0.0000 4.6681

Q: The lowest calculated total energy belongs to which entry?
A: CeErOsRu

Q: What is the calculated total energy in the fourth record?
A: -7.2550 eV per atom

Copy entry 9 word for word.
! Ac8PRh3Cl3 GGA-PBE optimized geometry; values from VASP
! calculated total energy	-5.5125	eV per atom
! space group	No. 166
! raw formation energy	-1.1211	eV/atom
&SYSTEM
  ibrav = 0, nat = 15, ntyp = 4
/
ATOMIC_SPECIES
Ac 227.00 Ac.upf
P 30.97 P.upf
Rh 102.91 Rh.upf
Cl 35.45 Cl.upf
ATOMIC_POSITIONS angstrom
Ac -2.2975 -1.3264 12.8710
Ac 0.0000 0.0000 5.3440
Ac 0.0000 -2.6529 9.6518
Ac -2.2975 1.3264 9.6518
Ac 2.2975 -1.3264 12.8709
Ac 0.0000 2.6529 12.8709
Ac 0.0000 0.0000 17.1788
Ac 2.2975 1.3264 9.6518
P 0.0000 0.0000 11.2614
Rh -4.4236 0.0000 11.2614
Rh -2.2118 1.2770 3.7538
Rh 2.2118 1.2770 3.7538
Cl -2.2118 -1.2770 7.5076
Cl -2.2118 1.2770 15.0152
Cl 0.0000 2.5540 7.5076
CELL_PARAMETERS angstrom
4.4236 2.5540 7.5076
-4.4236 2.5540 7.5076
0.0000 -5.1080 7.5076

Q: What is the calculated total energy in the seventh record?
A: -3.5113 eV per atom